Record 1
Below is a relaxed PmYSiSe crystal, with properties calculated at the PBE level.

Structure (CIF):
```
data_PmYSiSe
_chemical_formula_sum 'Pm3 Y3 Si3 Se3'
_space_group_name_H-M_alt 'R 3 m'
_space_group_IT_number 160
_space_group_name_Hall 'R 3 -2"'
_cell_length_a 4.1629
_cell_length_b 4.1629
_cell_length_c 20.6963
_cell_angle_alpha 90.00
_cell_angle_beta 90.00
_cell_angle_gamma 120.00
loop_
_atom_site_label
_atom_site_type_symbol
_atom_site_fract_x
_atom_site_fract_y
_atom_site_fract_z
Pm1 Pm 0.0000 0.0000 0.0000
Y1 Y 0.0000 0.0000 0.4916
Si1 Si 0.0000 0.0000 0.7476
Se1 Se 0.0000 0.0000 0.2431
```

Output
- Formation energy from raw total energies: -5.25 eV per formula unit
- Calculated volume: 25.9 Å³/atom
- Density of states at the Fermi level: 1.3 states/eV/f.u.


Record 2
Below is a relaxed TeOsAu3 crystal, with properties calculated at the PBE level.

Structure (CIF):
```
data_TeOsAu3
_chemical_formula_sum 'Te1 Os1 Au3'
_space_group_name_H-M_alt 'P m -3 m'
_space_group_IT_number 221
_space_group_name_Hall '-P 4 2 3'
_cell_length_a 5.037
_cell_length_b 5.037
_cell_length_c 5.037
_cell_angle_alpha 90.00
_cell_angle_beta 90.00
_cell_angle_gamma 90.00
loop_
_atom_site_label
_atom_site_type_symbol
_atom_site_fract_x
_atom_site_fract_y
_atom_site_fract_z
Te1 Te 0.000 0.000 0.000
Os1 Os 0.500 0.500 0.500
Au1 Au 0.000 0.500 0.500
```

Output
- Formation energy from raw total energies: 6.18 eV per formula unit
- Calculated volume: 25.6 Å³/atom
- Excess energy over the best structure of this formula in the dataset: 0.000 eV/atom
- Density of states at the Fermi level: 5.7 states/eV/f.u.